No. 1
The following is a GGA-PBE calculation of a relaxed CrNiHg crystal, from Alexandria via LeMat-Bulk.

Cell lengths 5.1478, 5.1478, 5.1478 Å; angles 144.44, 144.44, 51.17 degrees
Closest atoms and distances in Å follow each position.
Fractional coordinates of all 3 atoms:
Cr 0.0000 0.0000 0.0000  4 Ni 2.49
Ni 0.6204 0.6204 0.0000  4 Cr 2.49
Hg 0.3056 0.3056 0.0000  5 Ni 2.81-2.92, 5 Cr 2.84-2.86, 4 Hg 3.14

- N(E_F): 2.843 states/eV/cell
- Formation enthalpy at 0 K: 0.324 eV per atom
- Symmetry: No. 107
- Energy above the lowest structure with this stoichiometry: 0.0 kJ per mole of atoms
- Size of the total moment: 3.06 μB per cell

=====

No. 2
The following is a GGA-PBE calculation of a relaxed CrNi2Hg crystal, from Alexandria via LeMat-Bulk.

Cell lengths 4.7825, 4.7825, 4.7825 Å; angles 133.71, 133.71, 67.54 degrees
Closest atoms and distances in Å follow each position.
Fractional coordinates of all 4 atoms:
Cr 0.0000 0.0000 0.0000  8 Ni 2.66-2.74, 4 Hg 2.74
Ni 0.5000 0.5000 0.0000  4 Cr 2.66, 4 Hg 2.74, 4 Ni 2.74
Ni 0.7500 0.2500 0.5000  4 Hg 2.66, 4 Cr 2.74, 4 Ni 2.74
Hg 0.2500 0.7500 0.5000  8 Ni 2.66-2.74, 4 Cr 2.74

- N(E_F): 5.848 states/eV/cell
- Formation enthalpy at 0 K: 0.287 eV per atom
- Symmetry: No. 119
- Size of the total moment: 3.41 μB per cell

=====

No. 3
The following is a GGA-PBE calculation of a relaxed CrNi2Hg crystal, from Alexandria via LeMat-Bulk.

Cell lengths 4.5321, 4.5321, 4.5321 Å; angles 128.07, 128.07, 76.51 degrees
Closest atoms and distances in Å follow each position.
Fractional coordinates of all 4 atoms:
Cr 0.0000 0.0000 0.0000  8 Ni 2.67, 4 Hg 2.81
Ni 0.2500 0.7500 0.5000  4 Hg 2.67, 4 Cr 2.67, 4 Ni 2.81
Ni 0.7500 0.2500 0.5000  4 Hg 2.67, 4 Cr 2.67, 4 Ni 2.81
Hg 0.5000 0.5000 0.0000  8 Ni 2.67, 4 Cr 2.81

- N(E_F): 4.270 states/eV/cell
- Formation enthalpy at 0 K: 0.258 eV per atom
- Symmetry: No. 139
- Size of the total moment: 3.47 μB per cell

=====

No. 4
The following is a GGA-PBE calculation of a relaxed CrNiHg2 crystal, from Alexandria via LeMat-Bulk.

Cell lengths 5.4990, 5.4990, 5.4990 Å; angles 146.17, 130.50, 61.30 degrees
Closest atoms and distances in Å follow each position.
Fractional coordinates of all 4 atoms:
Cr 0.0000 0.0000 0.0000  2 Ni 2.56, 4 Hg 2.84
Ni 0.7883 0.2883 0.5000  2 Cr 2.56, 6 Hg 2.76-2.81
Hg 0.2731 0.7731 0.5000  4 Ni 2.81, 2 Cr 3.04, 4 Hg 3.07-3.12
Hg 0.5502 0.5502 0.0000  2 Ni 2.76, 4 Cr 2.84, 2 Hg 3.07

- N(E_F): 3.095 states/eV/cell
- Formation enthalpy at 0 K: 0.394 eV per atom
- Symmetry: No. 44
- Energy above the lowest structure with this stoichiometry: 8.3 kJ per mole of atoms
- Size of the total moment: 4.08 μB per cell

=====

No. 5
The following is a GGA-PBE calculation of a relaxed CrNiHg2 crystal, from Alexandria via LeMat-Bulk.

Cell lengths 3.0941, 4.3387, 5.4865 Å; angles 90.00, 105.15, 90.00 degrees
Closest atoms and distances in Å follow each position.
Fractional coordinates of all 4 atoms:
Cr 0.0000 0.0000 0.0000  2 Ni 2.60, 6 Hg 2.82-2.86
Ni 0.8974 0.5000 0.7313  2 Cr 2.60, 6 Hg 2.81-2.87
Hg 0.3036 0.0000 0.5516  4 Ni 2.81-2.85, 3 Cr 2.82-2.92, 2 Hg 3.09
Hg 0.5938 0.5000 0.1950  3 Ni 2.84-2.93, 4 Cr 2.85-2.86, 2 Hg 3.09

- N(E_F): 2.537 states/eV/cell
- Formation enthalpy at 0 K: 0.423 eV per atom
- Symmetry: No. 6
- Energy above the lowest structure with this stoichiometry: 11.2 kJ per mole of atoms
- Size of the total moment: 4.27 μB per cell

=====

No. 6
The following is a GGA-PBE calculation of a relaxed CrNiHg2 crystal, from Alexandria via LeMat-Bulk.

Cell lengths 3.0591, 3.0591, 7.5199 Å; angles 90.00, 90.00, 90.00 degrees
Closest atoms and distances in Å follow each position.
Fractional coordinates of all 4 atoms:
Cr 0.0000 0.0000 0.0000  4 Ni 2.50
Ni 0.5000 0.5000 0.8344  4 Cr 2.50
Hg 0.0000 0.0000 0.5974  4 Ni 2.80, 1 Cr 3.03, 4 Hg 3.06
Hg 0.5000 0.5000 0.2634  4 Cr 2.93, 4 Hg 3.06, 1 Ni 3.23

- N(E_F): 2.730 states/eV/cell
- Formation enthalpy at 0 K: 0.307 eV per atom
- Symmetry: No. 99
- Energy above the lowest structure with this stoichiometry: 0.0 kJ per mole of atoms
- Size of the total moment: 3.38 μB per cell

=====

No. 7
The following is a GGA-PBE calculation of a relaxed CrNi2Hg crystal, from Alexandria via LeMat-Bulk.

Cell lengths 8.5233, 8.5233, 8.5233 Å; angles 19.01, 19.01, 19.01 degrees
Closest atoms and distances in Å follow each position.
Fractional coordinates of all 4 atoms:
Cr 0.0000 0.0000 0.0000  6 Ni 2.46
Ni 0.2598 0.2598 0.2598  3 Cr 2.46
Ni 0.7402 0.7402 0.7402  3 Cr 2.46
Hg 0.5000 0.5000 0.5000  6 Hg 2.82, 6 Ni 2.85

- N(E_F): 5.566 states/eV/cell
- Formation enthalpy at 0 K: 0.373 eV per atom
- Symmetry: No. 166
- Size of the total moment: 2.90 μB per cell

=====

No. 8
The following is a GGA-PBE calculation of a relaxed CrNiHg2 crystal, from Alexandria via LeMat-Bulk.

Cell lengths 9.2227, 9.2227, 9.2227 Å; angles 18.98, 18.98, 18.98 degrees
Closest atoms and distances in Å follow each position.
Fractional coordinates of all 4 atoms:
Cr 0.0000 0.0000 0.0000  3 Ni 2.42
Ni 0.2721 0.2721 0.2721  3 Cr 2.42
Hg 0.5245 0.5245 0.5245  3 Ni 2.81, 6 Hg 3.04
Hg 0.7529 0.7529 0.7529  3 Cr 2.93, 6 Hg 3.04

- N(E_F): 2.354 states/eV/cell
- Formation enthalpy at 0 K: 0.431 eV per atom
- Symmetry: No. 160
- Energy above the lowest structure with this stoichiometry: 11.9 kJ per mole of atoms
- Size of the total moment: 3.20 μB per cell

=====

No. 9
The following is a GGA-PBE calculation of a relaxed CrNi2Hg crystal, from Alexandria via LeMat-Bulk.

Cell lengths 8.7027, 8.7027, 8.7027 Å; angles 18.10, 18.10, 18.10 degrees
Closest atoms and distances in Å follow each position.
Fractional coordinates of all 4 atoms:
Cr 0.0000 0.0000 0.0000  3 Ni 2.43
Ni 0.2613 0.2613 0.2613  3 Cr 2.43, 3 Ni 2.51
Ni 0.5188 0.5188 0.5188  9 Ni 2.51-2.74, 3 Hg 2.79
Hg 0.7625 0.7625 0.7625  6 Hg 2.74, 3 Ni 2.79, 3 Cr 2.93

- N(E_F): 4.543 states/eV/cell
- Formation enthalpy at 0 K: 0.490 eV per atom
- Symmetry: No. 160
- Size of the total moment: 0.16 μB per cell

=====

No. 10
The following is a GGA-PBE calculation of a relaxed CrNi2Hg crystal, from Alexandria via LeMat-Bulk.

Cell lengths 2.9868, 3.0510, 6.1005 Å; angles 90.00, 90.00, 90.00 degrees
Closest atoms and distances in Å follow each position.
Fractional coordinates of all 4 atoms:
Cr 0.0000 0.0000 0.0000  8 Ni 2.49
Ni 0.5000 0.5000 0.2092  4 Cr 2.49, 1 Ni 2.55, 4 Hg 2.78
Ni 0.5000 0.5000 0.7908  4 Cr 2.49, 1 Ni 2.55, 4 Hg 2.78
Hg 0.0000 0.0000 0.5000  8 Ni 2.78, 4 Hg 2.99-3.05, 2 Cr 3.05

- N(E_F): 3.192 states/eV/cell
- Formation enthalpy at 0 K: 0.200 eV per atom
- Symmetry: No. 47
- Size of the total moment: 2.91 μB per cell

=====

No. 11
The following is a GGA-PBE calculation of a relaxed CrNiHg2 crystal, from Alexandria via LeMat-Bulk.

Cell lengths 5.9578, 5.9578, 5.9578 Å; angles 103.23, 103.23, 122.84 degrees
Closest atoms and distances in Å follow each position.
Fractional coordinates of all 8 atoms:
Cr 0.0000 0.0000 0.0000  2 Ni 2.85, 4 Hg 2.86
Cr 0.7500 0.2500 0.5000  2 Ni 2.85, 4 Hg 2.86
Ni 0.2500 0.7500 0.5000  4 Hg 2.57, 2 Cr 2.85
Ni 0.5000 0.5000 0.0000  4 Hg 2.57, 2 Cr 2.85
Hg 0.1530 0.1250 0.5280  2 Ni 2.57, 2 Cr 2.86, 2 Hg 2.88
Hg 0.3750 0.8470 0.9720  2 Ni 2.57, 2 Cr 2.86, 2 Hg 2.88
Hg 0.5970 0.6250 0.4720  2 Ni 2.57, 2 Cr 2.86, 2 Hg 2.88
Hg 0.8750 0.4030 0.0280  2 Ni 2.57, 2 Cr 2.86, 2 Hg 2.88

- N(E_F): 5.722 states/eV/cell
- Formation enthalpy at 0 K: 0.588 eV per atom
- Symmetry: No. 122
- Energy above the lowest structure with this stoichiometry: 27.1 kJ per mole of atoms
- Size of the total moment: 8.90 μB per cell

=====

No. 12
The following is a GGA-PBE calculation of a relaxed CrNiHg crystal, from Alexandria via LeMat-Bulk.

Cell lengths 4.3104, 4.3104, 2.9369 Å; angles 90.00, 90.00, 120.00 degrees
Closest atoms and distances in Å follow each position.
Fractional coordinates of all 3 atoms:
Cr 0.0000 0.0000 0.0000  3 Ni 2.49
Ni 0.3333 0.6667 0.9976  3 Cr 2.49
Hg 0.6667 0.3333 0.4993  6 Ni 2.89, 6 Cr 2.89, 2 Hg 2.94

- N(E_F): 2.877 states/eV/cell
- Formation enthalpy at 0 K: 0.454 eV per atom
- Symmetry: No. 156
- Energy above the lowest structure with this stoichiometry: 12.5 kJ per mole of atoms
- Size of the total moment: 3.73 μB per cell